{"formula": "SiB2C3", "functional": "PBE", "state": "relaxed", "e_form_raw_ev_per_atom": 0.4524, "magmom_total_mub_per_cell": 0.0, "total_energy_ev_per_atom": -7.289, "density_g_cm3": 2.81, "lattice": [[4.211, 0.000, 0.000], [0.000, 2.825, 0.000], [-0.079, 0.000, 4.264]], "species": ["Si", "B", "B", "C", "C", "C"], "fractional_positions": [[0.000, 0.000, 0.000], [0.359, 0.000, 0.346], [0.597, 0.500, 0.818], [0.269, 0.500, 0.511], [0.551, 0.000, 0.033], [0.995, 0.500, 0.731]]}